1.
Compound: TbCuPbSe3
Source: Alexandria via LeMat-Bulk
Functional: PBE-GGA
Structure: relaxed

Output
VASP energy   -29.0 eV per formula unit
Volume   24.88 Å³/atom

Lattice parameters (Å, degrees): 10.7017 4.0755 13.6909 90.00 90.00 90.00
Positions (direct):
Tb  0.0234  0.2500  0.2430
Tb  0.4766  0.7500  0.7430
Tb  0.5234  0.2500  0.2570
Tb  0.9766  0.7500  0.7570
Cu  0.2336  0.2500  0.7215
Cu  0.2664  0.7500  0.2215
Cu  0.7336  0.2500  0.7785
Cu  0.7664  0.7500  0.2785
Pb  0.2199  0.7500  0.5057
Pb  0.2801  0.2500  0.0057
Pb  0.7199  0.7500  0.9943
Pb  0.7801  0.2500  0.4943
Se  0.0449  0.2500  0.6150
Se  0.0921  0.7500  0.1060
Se  0.2307  0.7500  0.8303
Se  0.2693  0.2500  0.3303
Se  0.4079  0.2500  0.6060
Se  0.4551  0.7500  0.1150
Se  0.5449  0.2500  0.8850
Se  0.5921  0.7500  0.3940
Se  0.7307  0.7500  0.6697
Se  0.7693  0.2500  0.1697
Se  0.9079  0.2500  0.8940
Se  0.9551  0.7500  0.3850



2.
Compound: TiCuPb2Se5
Source: Alexandria via LeMat-Bulk
Functional: PBE-GGA
Structure: relaxed

Output
VASP energy   -42.1 eV per formula unit
D(E_F)   5.87 states/eV/cell
Volume   24.91 Å³/atom

Lattice parameters (Å, degrees): 9.0764 9.0764 13.1927 90.00 90.00 155.63
Positions (direct):
Ti  0.2057  0.7943  0.5000
Ti  0.7943  0.2057  0.0000
Cu  0.4201  0.5799  0.9334
Cu  0.5799  0.4201  0.4334
Pb  0.1083  0.8917  0.7734
Pb  0.1097  0.8903  0.1299
Pb  0.8903  0.1097  0.6299
Pb  0.8917  0.1083  0.2734
Se  0.0630  0.9370  0.5408
Se  0.2767  0.7233  0.1380
Se  0.2944  0.7056  0.8685
Se  0.3513  0.6487  0.4708
Se  0.4832  0.5168  0.7730
Se  0.5168  0.4832  0.2730
Se  0.6487  0.3513  0.9708
Se  0.7056  0.2944  0.3685
Se  0.7233  0.2767  0.6380
Se  0.9370  0.0630  0.0408



3.
Compound: TmCuPbSe3
Source: Alexandria via LeMat-Bulk
Functional: PBE-GGA
Structure: relaxed

Output
VASP energy   -28.8 eV per formula unit
Volume   24.26 Å³/atom

Lattice parameters (Å, degrees): 10.5430 4.0409 13.6679 90.00 90.00 90.00
Positions (direct):
Tm  0.0216  0.2500  0.2447
Tm  0.4784  0.7500  0.7447
Tm  0.5216  0.2500  0.2553
Tm  0.9784  0.7500  0.7553
Cu  0.2358  0.2500  0.7207
Cu  0.2642  0.7500  0.2207
Cu  0.7358  0.2500  0.7793
Cu  0.7642  0.7500  0.2793
Pb  0.2246  0.7500  0.5065
Pb  0.2754  0.2500  0.0065
Pb  0.7246  0.7500  0.9935
Pb  0.7754  0.2500  0.4935
Se  0.0435  0.2500  0.6156
Se  0.0843  0.7500  0.1083
Se  0.2315  0.7500  0.8297
Se  0.2685  0.2500  0.3297
Se  0.4157  0.2500  0.6083
Se  0.4565  0.7500  0.1156
Se  0.5435  0.2500  0.8844
Se  0.5843  0.7500  0.3917
Se  0.7315  0.7500  0.6703
Se  0.7685  0.2500  0.1703
Se  0.9157  0.2500  0.8917
Se  0.9565  0.7500  0.3844



4.
Compound: UCu2Pb2Se6
Source: Alexandria via LeMat-Bulk
Functional: PBE-GGA
Structure: relaxed

Output
VASP energy   -52.8 eV per formula unit
D(E_F)   1.72 states/eV/cell
Volume   28.27 Å³/atom

Lattice parameters (Å, degrees): 7.1677 7.1677 6.9887 90.00 90.00 120.00
Positions (direct):
U  0.0000  0.0000  0.0000
Cu  0.3333  0.6667  0.8265
Cu  0.6667  0.3333  0.1735
Pb  0.3333  0.6667  0.3988
Pb  0.6667  0.3333  0.6012
Se  0.0371  0.3200  0.7636
Se  0.2830  0.9629  0.7636
Se  0.3200  0.2830  0.2364
Se  0.6800  0.7170  0.7636
Se  0.7170  0.0371  0.2364
Se  0.9629  0.6800  0.2364



5.
Compound: UCuPbSe3
Source: Alexandria via LeMat-Bulk
Functional: PBE-GGA
Structure: relaxed

Output
VASP energy   -33.5 eV per formula unit
D(E_F)   10.04 states/eV/cell
Volume   25.90 Å³/atom

Lattice parameters (Å, degrees): 8.7603 4.0479 9.0849 90.00 105.22 90.00
Positions (direct):
U  0.1750  0.2500  0.1624
U  0.8250  0.7500  0.8376
Cu  0.4193  0.7500  0.4184
Cu  0.5807  0.2500  0.5816
Pb  0.3109  0.7500  0.7646
Pb  0.6891  0.2500  0.2354
Se  0.0602  0.2500  0.8319
Se  0.2810  0.2500  0.4889
Se  0.4025  0.7500  0.1371
Se  0.5975  0.2500  0.8629
Se  0.7190  0.7500  0.5111
Se  0.9398  0.7500  0.1681



6.
Compound: UCuPb2Se5
Source: Alexandria via LeMat-Bulk
Functional: PBE-GGA
Structure: relaxed

Output
VASP energy   -46.4 eV per formula unit
D(E_F)   10.11 states/eV/cell
Volume   27.65 Å³/atom

Lattice parameters (Å, degrees): 9.3719 9.3719 13.1259 90.00 90.00 154.43
Positions (direct):
U  0.2092  0.7908  0.5000
U  0.7908  0.2092  0.0000
Cu  0.4218  0.5782  0.9257
Cu  0.5782  0.4218  0.4257
Pb  0.0961  0.9039  0.7632
Pb  0.1050  0.8950  0.1214
Pb  0.8950  0.1050  0.6214
Pb  0.9039  0.0961  0.2632
Se  0.0598  0.9402  0.5252
Se  0.2743  0.7257  0.1424
Se  0.2974  0.7026  0.8613
Se  0.3593  0.6407  0.4676
Se  0.4861  0.5139  0.7619
Se  0.5139  0.4861  0.2619
Se  0.6407  0.3593  0.9676
Se  0.7026  0.2974  0.3613
Se  0.7257  0.2743  0.6424
Se  0.9402  0.0598  0.0252



7.
Compound: VCu3PbSe4
Source: Alexandria via LeMat-Bulk
Functional: PBE-GGA
Structure: relaxed

Output
VASP energy   -41.1 eV per formula unit
D(E_F)   5.13 states/eV/cell
Volume   24.43 Å³/atom

Lattice parameters (Å, degrees): 6.0359 6.0359 6.0359 90.00 90.00 90.00
Positions (direct):
V  0.0000  0.0000  0.0000
Cu  0.0000  0.0000  0.5000
Cu  0.0000  0.5000  0.0000
Cu  0.5000  0.0000  0.0000
Pb  0.5000  0.5000  0.5000
Se  0.2275  0.2275  0.2275
Se  0.2275  0.7725  0.7725
Se  0.7725  0.2275  0.7725
Se  0.7725  0.7725  0.2275



8.
Compound: Y3CuPb3Se8
Source: Alexandria via LeMat-Bulk
Functional: PBE-GGA
Structure: relaxed

Output
VASP energy   -78.3 eV per formula unit
D(E_F)   0.16 states/eV/cell
Volume   28.18 Å³/atom

Lattice parameters (Å, degrees): 8.2617 8.2617 8.5905 118.71 118.71 60.04
Positions (direct):
Y  0.0000  0.0000  0.0000
Y  0.0000  0.5000  0.0000
Y  0.5000  0.0000  0.0000
Cu  0.5000  0.5000  0.0000
Pb  0.0000  0.5000  0.5000
Pb  0.5000  0.0000  0.5000
Pb  0.5000  0.5000  0.5000
Se  0.2434  0.2434  0.2300
Se  0.2499  0.7333  0.2161
Se  0.2667  0.7501  0.7839
Se  0.2676  0.2676  0.7837
Se  0.7324  0.7324  0.2163
Se  0.7333  0.2499  0.2161
Se  0.7501  0.2667  0.7839
Se  0.7566  0.7566  0.7700



- volume of number 2 (TiCuPb2Se5)?
  24.91 Å³/atom



- Among the records above, which one has the lowest VASP energy?
  Y3CuPb3Se8



- The lowest volume belongs to which entry?
  TmCuPbSe3